{
  "formula": "Er2MgS",
  "functional": "PBE",
  "state": "relaxed",
  "relative_energy_mev_per_atom": 245,
  "dft_energy_ev_per_cell": -17.532,
  "volume_a3_per_fu": 110.4,
  "lattice": [[1.8089, 1.0444, 9.7417], [-1.8089, 1.0444, 9.7417], [0.0000, -2.0887, 9.7417]],
  "species": ["Er", "Er", "Mg", "S"],
  "fractional_positions": [[0.1104, 0.1104, 0.1104], [0.8896, 0.8896, 0.8896], [0.0000, 0.0000, 0.0000], [0.5000, 0.5000, 0.5000]]
}

{
  "formula": "ScPt2Se",
  "functional": "PBE",
  "state": "relaxed",
  "dft_energy_ev_per_cell": -24.142,
  "volume_a3_per_fu": 70.2,
  "lattice": [[0.0000, 3.2738, 3.2738], [3.2738, 0.0000, 3.2738], [3.2738, 3.2738, 0.0000]],
  "species": ["Sc", "Pt", "Pt", "Se"],
  "fractional_positions": [[0.0000, 0.0000, 0.0000], [0.2500, 0.2500, 0.2500], [0.5000, 0.5000, 0.5000], [0.7500, 0.7500, 0.7500]]
}

{
  "formula": "YCr2CuB",
  "functional": "PBE",
  "state": "relaxed",
  "delta_e_f_ev_per_fu": 1.17,
  "dft_energy_ev_per_cell": -35.314,
  "volume_a3_per_fu": 73.6,
  "lattice": [[4.2309, 0.0000, 0.0000], [0.0000, 4.2309, 0.0000], [0.0000, 0.0000, 4.1102]],
  "species": ["Y", "Cr", "Cr", "Cu", "B"],
  "fractional_positions": [[0.0000, 0.0000, 0.0000], [0.0000, 0.5000, 0.5000], [0.5000, 0.0000, 0.5000], [0.5000, 0.5000, 0.0000], [0.5000, 0.5000, 0.5000]]
}

{
  "formula": "Cd4In3Ag",
  "functional": "PBE",
  "state": "relaxed",
  "delta_e_f_ev_per_fu": 0.51,
  "dft_energy_ev_per_cell": -14.216,
  "volume_a3_per_fu": 199.2,
  "lattice": [[12.4438, -1.6210, 0.0000], [12.4438, 1.6210, 0.0000], [-0.8583, 0.0000, 4.9366]],
  "species": ["Cd", "Cd", "Cd", "Cd", "In", "In", "In", "Ag"],
  "fractional_positions": [[0.0975, 0.0975, 0.0850], [0.2849, 0.2849, 0.8019], [0.7151, 0.7151, 0.1981], [0.9025, 0.9025, 0.9150], [0.0000, 0.0000, 0.5000], [0.1614, 0.1614, 0.6409], [0.8386, 0.8386, 0.3591], [0.5000, 0.5000, 0.0000]]
}

{
  "formula": "BaNdPdAu",
  "functional": "PBE",
  "state": "relaxed",
  "delta_e_f_ev_per_fu": -2.15,
  "dft_energy_ev_per_cell": -17.313,
  "volume_a3_per_fu": 110.3,
  "lattice": [[0.0000, 3.8062, 3.8062], [3.8062, 0.0000, 3.8062], [3.8062, 3.8062, 0.0000]],
  "species": ["Ba", "Nd", "Pd", "Au"],
  "fractional_positions": [[0.0000, 0.0000, 0.0000], [0.5000, 0.5000, 0.5000], [0.2500, 0.2500, 0.2500], [0.7500, 0.7500, 0.7500]]
}

{
  "formula": "V2Ni6Rh",
  "functional": "PBE",
  "state": "relaxed",
  "delta_e_f_ev_per_fu": -1.92,
  "dft_energy_ev_per_cell": -62.197,
  "volume_a3_per_fu": 104.7,
  "lattice": [[4.0783, -1.7800, 0.0000], [4.0783, 1.7800, 0.0000], [-2.5659, 0.0000, 7.2095]],
  "species": ["V", "V", "Ni", "Ni", "Ni", "Ni", "Ni", "Ni", "Rh"],
  "fractional_positions": [[0.1730, 0.1730, 0.2310], [0.8270, 0.8270, 0.7690], [0.1661, 0.1661, 0.5534], [0.1673, 0.1673, 0.8853], [0.5001, 0.5001, 0.3366], [0.4999, 0.4999, 0.6634], [0.8327, 0.8327, 0.1147], [0.8339, 0.8339, 0.4466], [0.5000, 0.5000, 0.0000]]
}

{
  "formula": "Ho5Er8Sc",
  "functional": "PBE",
  "state": "relaxed",
  "delta_e_f_ev_per_fu": 3.70,
  "dft_energy_ev_per_cell": -62.021,
  "volume_a3_per_fu": 440.1,
  "lattice": [[-4.7137, 4.7137, 4.9517], [4.7137, -4.7137, 4.9517], [4.7137, 4.7137, -4.9517]],
  "species": ["Ho", "Ho", "Ho", "Ho", "Ho", "Er", "Er", "Er", "Er", "Er", "Er", "Er", "Er", "Sc"],
  "fractional_positions": [[0.0000, 0.0000, 0.0000], [0.2118, 0.5302, 0.8979], [0.4698, 0.3677, 0.6816], [0.6323, 0.3139, 0.1021], [0.6861, 0.7882, 0.3184], [0.1593, 0.0674, 0.7322], [0.3353, 0.4272, 0.2678], [0.4166, 0.0222, 0.2559], [0.5728, 0.8407, 0.9081], [0.7663, 0.1607, 0.7441], [0.8393, 0.5834, 0.6055], [0.9326, 0.6647, 0.0919], [0.9778, 0.2337, 0.3945], [0.2500, 0.7500, 0.5000]]
}

{
  "formula": "LaNd2YS4",
  "functional": "PBE",
  "state": "relaxed",
  "dft_energy_ev_per_cell": -53.820,
  "volume_a3_per_fu": 188.7,
  "lattice": [[7.0231, 0.0000, 0.0000], [0.0000, 4.0216, 0.0000], [-2.3104, 0.0000, 6.6800]],
  "species": ["La", "Nd", "Nd", "Y", "S", "S", "S", "S"],
  "fractional_positions": [[0.0000, 0.0000, 0.0000], [0.5000, 0.0000, 0.5000], [0.5000, 0.5000, 0.0000], [0.0000, 0.5000, 0.5000], [0.2412, 0.0000, 0.7383], [0.2481, 0.5000, 0.2584], [0.7519, 0.5000, 0.7416], [0.7588, 0.0000, 0.2617]]
}

{
  "formula": "ReCF3",
  "functional": "PBE",
  "state": "relaxed",
  "relative_energy_mev_per_atom": 0,
  "dft_energy_ev_per_cell": -24.238,
  "volume_a3_per_fu": 66.3,
  "lattice": [[4.0474, 0.0000, 0.0000], [0.0000, 4.0474, 0.0000], [0.0000, 0.0000, 4.0474]],
  "species": ["Re", "C", "F", "F", "F"],
  "fractional_positions": [[0.0000, 0.0000, 0.0000], [0.5000, 0.5000, 0.5000], [0.0000, 0.0000, 0.5000], [0.0000, 0.5000, 0.0000], [0.5000, 0.0000, 0.0000]]
}

{
  "formula": "TaTiH4",
  "functional": "PBE",
  "state": "relaxed",
  "relative_energy_mev_per_atom": 0,
  "dft_energy_ev_per_cell": -70.322,
  "volume_a3_per_fu": 44.5,
  "lattice": [[-2.2345, 2.2345, 4.4520], [2.2345, -2.2345, 4.4520], [2.2345, 2.2345, -4.4520]],
  "species": ["Ta", "Ta", "Ti", "Ti", "H", "H", "H", "H", "H", "H", "H", "H"],
  "fractional_positions": [[0.3750, 0.6250, 0.7500], [0.6250, 0.3750, 0.2500], [0.1250, 0.8750, 0.2500], [0.8750, 0.1250, 0.7500], [0.0000, 0.2451, 0.2451], [0.0000, 0.7549, 0.7549], [0.2451, 0.0000, 0.7451], [0.2451, 0.5000, 0.2451], [0.5000, 0.2451, 0.7451], [0.5000, 0.7549, 0.2549], [0.7549, 0.0000, 0.2549], [0.7549, 0.5000, 0.7549]]
}

{
  "formula": "Cu2ReRu",
  "functional": "PBE",
  "state": "relaxed",
  "delta_e_f_ev_per_fu": 1.46,
  "relative_energy_mev_per_atom": 232,
  "dft_energy_ev_per_cell": -28.457,
  "volume_a3_per_fu": 53.7,
  "lattice": [[2.5021, -4.0428, 0.0000], [2.5021, 4.0428, 0.0000], [-0.0085, 0.0000, 2.6557]],
  "species": ["Cu", "Cu", "Re", "Ru"],
  "fractional_positions": [[0.0000, 0.5000, 0.0000], [0.5000, 0.0000, 0.0000], [0.0000, 0.0000, 0.5000], [0.5000, 0.5000, 0.5000]]
}

{
  "formula": "MgFeIr",
  "functional": "PBE",
  "state": "relaxed",
  "delta_e_f_ev_per_fu": -0.22,
  "dft_energy_ev_per_cell": -19.141,
  "volume_a3_per_fu": 44.4,
  "lattice": [[-1.5282, 1.5282, 4.7579], [1.5282, -1.5282, 4.7579], [1.5282, 1.5282, -4.7579]],
  "species": ["Mg", "Fe", "Ir"],
  "fractional_positions": [[0.0000, 0.0000, 0.0000], [0.6815, 0.6815, 0.0000], [0.3208, 0.3208, 0.0000]]
}

Question: Which formula does entry 8 have?
Answer: LaNd2YS4